# 1
First-principles (GGA-PBE) data for a relaxed CaURh4 crystal, as listed in Alexandria.

Lattice parameters (Å, degrees): 5.2689 6.2537 8.0279 112.92 109.86 90.00
Closest atoms and distances in Å follow each position.
Element x y z (fractional)
Ca: 0.8766 0.8066 0.6131  8 Rh 2.89-3.22
Ca: 0.1234 0.1934 0.3869  8 Rh 2.89-3.22
U: 0.1795 0.4200 0.8400  5 Rh 2.42-2.54
U: 0.8205 0.5800 0.1600  5 Rh 2.42-2.54
Rh: 0.2936 0.7002 0.4003  1 U 2.47
Rh: 0.4539 0.1097 0.7773  1 U 2.42
Rh: 0.0000 0.2087 0.0000  2 U 2.54, 3 Rh 2.61-2.74
Rh: 0.5461 0.3324 0.2227  1 U 2.42
Rh: 0.7064 0.2998 0.5997  1 U 2.47
Rh: 0.5461 0.8903 0.2227  1 U 2.42
Rh: 0.0000 0.7913 0.0000  2 U 2.54, 3 Rh 2.61-2.74
Rh: 0.4539 0.6676 0.7773  1 U 2.42

Calculated values
- D(E_F): 0.4042 states/eV per atom
- Energy above the most stable polymorph in this dataset: 0.08 eV/f.u.
- DFT formation energy: -0.393 eV per atom
- SG: No. 12
- Final energy: -90.1 eV per cell

---

# 2
First-principles (GGA-PBE) data for a relaxed NaInSn crystal, as listed in Alexandria.

Lattice parameters (Å, degrees): 7.6686 6.1551 5.5532 116.81 90.00 128.53
Closest atoms and distances in Å follow each position.
Element x y z (fractional)
Sn: 0.6588 0.3176 0.4088  4 Na 3.07-3.38, 2 Sn 3.13, 2 In 3.41
Sn: 0.8412 0.6824 0.0912  4 Na 3.07-3.38, 2 Sn 3.13, 2 In 3.41
In: 0.3545 0.5000 0.2500  4 Na 3.10-3.42, 2 In 3.21, 2 Sn 3.41
In: 0.1455 0.5000 0.7500  4 Na 3.10-3.42, 2 In 3.21, 2 Sn 3.41
Na: 0.2500 0.0000 0.6178  4 Sn 3.07-3.38, 4 In 3.10-3.42
Na: 0.7500 0.0000 0.8822  4 Sn 3.07-3.38, 4 In 3.10-3.42

Calculated values
- D(E_F): 0.3196 states/eV per atom
- DFT formation energy: -0.026 eV per atom
- SG: No. 24
- Final energy: -16.3 eV per cell

---

# 3
First-principles (GGA-PBE) data for a relaxed NdMg2Hg6 crystal, as listed in Alexandria.

Lattice parameters (Å, degrees): 5.0542 5.0475 9.9127 90.10 90.00 120.04
Closest atoms and distances in Å follow each position.
Element x y z (fractional)
Nd: 0.0000 0.0000 0.5000  8 Hg 3.20-3.23
Mg: 0.3337 0.6674 0.7279  7 Hg 3.06-3.20
Mg: 0.6663 0.3326 0.2721  7 Hg 3.06-3.20
Hg: 0.6668 0.3336 0.9495  7 Hg 3.08-3.17, 1 Mg 3.20
Hg: 0.3332 0.6664 0.0505  7 Hg 3.08-3.17, 1 Mg 3.20
Hg: 0.9995 0.9991 0.1742  3 Mg 3.07, 3 Hg 3.16-3.17, 1 Nd 3.23
Hg: 0.3331 0.6662 0.3661  3 Mg 3.06, 1 Hg 3.13, 3 Nd 3.20
Hg: 0.0005 0.0009 0.8258  3 Mg 3.07, 3 Hg 3.16-3.17, 1 Nd 3.23
Hg: 0.6669 0.3338 0.6339  3 Mg 3.06, 1 Hg 3.13, 3 Nd 3.20

Calculated values
- D(E_F): 0.3464 states/eV per atom
- DFT formation energy: -0.220 eV per atom
- SG: No. 12
- Final energy: -11.7 eV per cell

---

# 4
First-principles (GGA-PBE) data for a relaxed PrEr2Ir crystal, as listed in Alexandria.

Lattice parameters (Å, degrees): 6.4684 7.3011 9.3129 90.00 90.00 90.00
Closest atoms and distances in Å follow each position.
Element x y z (fractional)
Pr: 0.6326 0.5335 0.2500  2 Ir 2.86-3.03
Pr: 0.8674 0.0335 0.2500  2 Ir 2.86-3.03
Pr: 0.3674 0.4665 0.7500  2 Ir 2.86-3.03
Pr: 0.1326 0.9665 0.7500  2 Ir 2.86-3.03
Er: 0.1675 0.6748 0.0650  2 Ir 2.82-2.86
Er: 0.3325 0.1748 0.4350  2 Ir 2.82-2.86
Er: 0.8325 0.3252 0.5650  2 Ir 2.82-2.86
Er: 0.6675 0.8252 0.9350  2 Ir 2.82-2.86
Er: 0.8325 0.3252 0.9350  2 Ir 2.82-2.86
Er: 0.6675 0.8252 0.5650  2 Ir 2.82-2.86
Er: 0.1675 0.6748 0.4350  2 Ir 2.82-2.86
Er: 0.3325 0.1748 0.0650  2 Ir 2.82-2.86
Ir: 0.0692 0.3823 0.2500  4 Er 2.82-2.86, 2 Pr 2.86-3.03
Ir: 0.4308 0.8823 0.2500  4 Er 2.82-2.86, 2 Pr 2.86-3.03
Ir: 0.9308 0.6177 0.7500  4 Er 2.82-2.86, 2 Pr 2.86-3.03
Ir: 0.5692 0.1177 0.7500  4 Er 2.82-2.86, 2 Pr 2.86-3.03

Calculated values
- D(E_F): 1.0709 states/eV per atom
- Energy above the most stable polymorph in this dataset: 0.00 eV/f.u.
- DFT formation energy: -0.548 eV per atom
- SG: No. 62
- Final energy: -99.8 eV per cell

---

# 5
First-principles (GGA-PBE) data for a relaxed La2TmTe2O2 crystal, as listed in Alexandria.

Lattice parameters (Å, degrees): 4.3953 4.3953 8.9732 104.18 104.18 90.00
Closest atoms and distances in Å follow each position.
Element x y z (fractional)
La: 0.3892 0.3892 0.7784  4 O 2.88
La: 0.6108 0.6108 0.2216  4 O 2.88
Tm: 0.0000 0.0000 0.0000  4 O 2.20
Te: 0.1809 0.1809 0.3617  1 Tm 3.05, 4 La 3.32
Te: 0.8191 0.8191 0.6383  1 Tm 3.05, 4 La 3.32
O: 0.0000 0.5000 0.0000  2 Tm 2.20
O: 0.5000 0.0000 0.0000  2 Tm 2.20

Calculated values
- D(E_F): 0.5386 states/eV per atom
- Formation energy without anion corrections: -2.3470 eV per atom
- SG: No. 139
- Final energy: -47.0 eV per cell

---

# 6
First-principles (GGA-PBE) data for a relaxed RbVBiI6 crystal, as listed in Alexandria.

Lattice parameters (Å, degrees): 7.7831 7.7836 8.1223 90.00 90.01 60.00
Closest atoms and distances in Å follow each position.
Element x y z (fractional)
Rb: 0.0000 0.0000 0.0000  6 I 3.74
V: 0.6666 0.6667 0.5000  6 I 2.85
Bi: 0.3333 0.3333 0.5000  6 I 3.12
I: 0.9740 0.3843 0.2921  1 V 2.85, 1 Bi 3.12
I: 0.3843 0.9740 0.7079  1 V 2.85, 1 Bi 3.12
I: 0.6416 0.3844 0.7079  1 V 2.85, 1 Bi 3.12
I: 0.9740 0.6417 0.7079  1 V 2.85, 1 Bi 3.12
I: 0.3843 0.6416 0.2921  1 V 2.85, 1 Bi 3.12
I: 0.6416 0.9740 0.2921  1 V 2.85, 1 Bi 3.12

Calculated values
- Formation energy without anion corrections: -0.6737 eV per atom
- SG: No. 149
- Final energy: -29.3 eV per cell

---

# 7
First-principles (GGA-PBE) data for a relaxed Tc2RuPt crystal, as listed in Alexandria.

Lattice parameters (Å, degrees): 2.7153 2.7153 7.9097 90.00 90.00 90.00
Closest atoms and distances in Å follow each position.
Element x y z (fractional)
Pt: 0.5000 0.5000 0.2500  4 Pt 2.72, 8 Tc 2.81
Ru: 0.5000 0.5000 0.7500  8 Tc 2.71, 4 Ru 2.72
Tc: 0.0000 0.0000 0.9914  4 Ru 2.71, 4 Tc 2.72, 4 Pt 2.81
Tc: 0.0000 0.0000 0.5086  4 Ru 2.71, 4 Tc 2.72, 4 Pt 2.81

Calculated values
- D(E_F): 1.1618 states/eV per atom
- Energy above the most stable polymorph in this dataset: 0.36 eV/f.u.
- DFT formation energy: -0.064 eV per atom
- SG: No. 123
- Final energy: -36.3 eV per cell

---

# 8
First-principles (GGA-PBE) data for a relaxed AgSnSb2Te crystal, as listed in Alexandria.

Lattice parameters (Å, degrees): 5.8580 5.1033 5.8580 90.00 90.00 90.00
Closest atoms and distances in Å follow each position.
Element x y z (fractional)
Sb: 0.0000 0.0000 0.5000  2 Te 2.93
Sb: 0.5000 0.0000 0.0000  2 Te 2.93
Te: 0.0000 0.0000 0.0000  2 Ag 2.55
Sn: 0.5000 0.5000 0.5000  8 Sb 3.88, 4 Ag 4.14
Ag: 0.0000 0.5000 0.0000  2 Te 2.55

Calculated values
- D(E_F): 1.2541 states/eV per atom
- Energy above the most stable polymorph in this dataset: 0.49 eV/f.u.
- Formation energy without anion corrections: 0.6324 eV per atom
- SG: No. 123
- Final energy: -15.1 eV per cell

---

Which of these has the highest final energy?
NdMg2Hg6